1.
4
Lattice="3.813 -2.203 0.000 3.813 2.203 0.000 -2.531 0.000 7.867" Properties=species:S:1:pos:R:3 comment="Sr2ZnIr, optimized geometry, DFT PBE" e_tot_ev_per_atom=-3.689 volume_a3_per_cell=132 sg="No. 8" formation_energy_ev_per_atom=-0.3143 pbc="T T T"
Sr 0.000 0.000 0.000
Sr 0.002 0.000 3.915
Zn 5.085 0.000 1.959
Ir 2.543 0.000 1.952

---

2.
20
Lattice="5.694 -6.109 0.000 5.694 6.109 0.000 -0.045 0.000 5.932" Properties=species:S:1:pos:R:3 comment="SrZn3Ir, optimized geometry, DFT PBE" polymorph_energy_kj_per_mol_atoms=15.58 e_tot_ev_per_atom=-3.047 volume_a3_per_cell=413 sg="No. 15" formation_energy_ev_per_atom=-0.1742 pbc="T T T"
Sr 1.938 1.380 2.442
Sr 1.916 -1.380 5.408
Sr 9.427 1.380 0.524
Sr 9.405 -1.380 3.490
Zn 4.718 3.986 0.513
Zn 3.505 1.747 5.600
Zn 6.647 3.986 2.453
Zn 4.634 0.431 3.548
Zn 4.657 -0.431 0.582
Zn 3.528 -1.747 2.634
Zn 7.816 1.747 3.298
Zn 6.687 0.431 5.350
Zn 6.709 -0.431 2.384
Zn 4.696 -3.986 3.479
Zn 7.838 -1.747 0.332
Zn 6.625 -3.986 5.419
Ir 5.660 2.590 4.449
Ir 5.683 1.821 1.483
Ir 5.660 -1.821 4.449
Ir 5.683 -2.590 1.483

---

3.
5
Lattice="5.800 0.000 0.000 0.000 5.800 0.000 0.000 0.000 5.800" Properties=species:S:1:pos:R:3 comment="SrZn3Ir, optimized geometry, DFT PBE" polymorph_energy_kj_per_mol_atoms=200.94 e_tot_ev_per_atom=-1.126 volume_a3_per_cell=195 sg="No. 221" formation_energy_ev_per_atom=1.7468 pbc="T T T"
Sr 0.000 0.000 0.000
Zn 0.000 0.000 2.900
Zn 0.000 2.900 0.000
Zn 2.900 0.000 0.000
Ir 2.900 2.900 2.900

---

4.
9
Lattice="5.606 -2.239 0.000 5.606 2.239 0.000 -3.329 0.000 8.574" Properties=species:S:1:pos:R:3 comment="Sr3Zn4Ir2, optimized geometry, DFT PBE" polymorph_energy_kj_per_mol_atoms=0.00 e_tot_ev_per_atom=-3.352 volume_a3_per_cell=215 sg="No. 12" formation_energy_ev_per_atom=-0.2562 pbc="T T T"
Sr 0.000 0.000 0.000
Sr 3.187 0.000 2.675
Sr 4.697 0.000 5.899
Zn 0.220 0.000 3.655
Zn 0.013 0.000 7.989
Zn 7.870 0.000 0.585
Zn 7.663 0.000 4.919
Ir 1.482 0.000 5.981
Ir 6.401 0.000 2.593

---

5.
20
Lattice="7.407 0.000 0.000 0.000 7.042 0.000 -4.642 0.000 7.734" Properties=species:S:1:pos:R:3 comment="SrZn3Ir, optimized geometry, DFT PBE" polymorph_energy_kj_per_mol_atoms=12.49 e_tot_ev_per_atom=-3.079 volume_a3_per_cell=403 sg="No. 14" formation_energy_ev_per_atom=-0.2063 pbc="T T T"
Sr -0.815 1.262 3.751
Sr -3.136 2.260 7.618
Sr 5.902 4.783 0.116
Sr 3.581 5.781 3.984
Zn -1.279 4.265 3.202
Zn -3.600 6.298 7.070
Zn -1.233 4.025 5.894
Zn 1.088 6.539 2.027
Zn 1.407 3.900 2.578
Zn -0.914 6.663 6.445
Zn 3.680 0.379 1.290
Zn 1.359 3.142 5.157
Zn 1.678 0.503 5.707
Zn 3.999 3.018 1.840
Zn 6.366 0.744 0.665
Zn 4.045 2.777 4.532
Ir 2.782 5.033 0.598
Ir 0.461 5.531 4.465
Ir 2.305 1.512 3.269
Ir -0.016 2.010 7.136

---

6.
10
Lattice="5.035 0.000 0.000 2.516 6.302 0.000 0.006 0.764 7.028" Properties=species:S:1:pos:R:3 comment="SrZn3Ir, optimized geometry, DFT PBE" polymorph_energy_kj_per_mol_atoms=6.53 e_tot_ev_per_atom=-3.141 volume_a3_per_cell=223 sg="No. 1" formation_energy_ev_per_atom=-0.2680 pbc="T T T"
Sr 0.000 0.000 0.000
Sr 2.521 3.224 4.700
Zn 1.376 3.215 0.670
Zn 2.582 1.258 1.990
Zn 4.480 4.762 2.352
Zn 4.776 5.142 5.864
Zn 6.411 6.310 4.035
Zn 5.100 1.966 2.717
Ir 3.883 6.520 3.989
Ir 3.883 3.004 0.717

---

7.
4
Lattice="3.058 0.000 0.000 0.000 4.690 0.000 0.000 0.000 5.018" Properties=species:S:1:pos:R:3 comment="SrZnIr2, optimized geometry, DFT PBE" e_tot_ev_per_atom=-4.852 volume_a3_per_cell=72 sg="No. 47" formation_energy_ev_per_atom=0.3171 pbc="T T T"
Sr 0.000 0.000 0.000
Zn 1.529 0.000 2.509
Ir 0.000 2.345 2.509
Ir 1.529 2.345 0.000

---

8.
10
Lattice="4.256 0.000 0.000 -2.128 3.686 0.000 0.000 0.000 18.218" Properties=species:S:1:pos:R:3 comment="SrZn3Ir, optimized geometry, DFT PBE" polymorph_energy_kj_per_mol_atoms=62.14 e_tot_ev_per_atom=-2.565 volume_a3_per_cell=286 sg="No. 194" formation_energy_ev_per_atom=0.3083 pbc="T T T"
Sr 0.000 0.000 0.000
Sr 0.000 0.000 9.109
Zn 0.000 0.000 4.555
Zn 0.000 0.000 13.664
Zn 0.000 2.457 2.158
Zn 0.000 2.457 6.951
Zn 2.128 1.229 11.267
Zn 2.128 1.229 16.060
Ir 0.000 2.457 4.555
Ir 2.128 1.229 13.664

---

9.
10
Lattice="4.604 0.000 0.000 0.000 14.468 0.000 -2.301 0.000 5.299" Properties=species:S:1:pos:R:3 comment="SrZn3Ir, optimized geometry, DFT PBE" polymorph_energy_kj_per_mol_atoms=42.59 e_tot_ev_per_atom=-2.767 volume_a3_per_cell=353 sg="No. 11" formation_energy_ev_per_atom=0.1057 pbc="T T T"
Sr -0.009 3.617 1.677
Sr 2.312 10.851 3.623
Zn 0.013 10.851 1.370
Zn -0.004 1.217 5.077
Zn -0.004 6.017 5.077
Zn 2.306 8.451 0.222
Zn 2.306 13.250 0.222
Zn 2.290 3.617 3.930
Ir -0.013 3.617 4.756
Ir 2.315 10.851 0.543

---

10.
4
Lattice="-2.280 2.280 4.783 2.280 -2.280 4.783 2.280 2.280 -4.783" Properties=species:S:1:pos:R:3 comment="Sr2ZnIr, optimized geometry, DFT PBE" e_tot_ev_per_atom=-3.283 volume_a3_per_cell=99 sg="No. 119" formation_energy_ev_per_atom=0.0915 pbc="T T T"
Sr 0.000 0.000 0.000
Sr 0.000 2.280 2.392
Zn 2.280 0.000 2.392
Ir 0.000 0.000 4.783

---

11.
9
Lattice="5.915 0.000 0.000 -2.958 5.123 0.000 0.000 0.000 5.969" Properties=species:S:1:pos:R:3 comment="Sr2Zn6Ir, optimized geometry, DFT PBE" e_tot_ev_per_atom=-2.449 volume_a3_per_cell=181 sg="No. 164" formation_energy_ev_per_atom=-0.2412 pbc="T T T"
Sr 0.000 3.415 2.095
Sr 2.958 1.708 3.874
Zn 0.000 1.747 4.957
Zn -1.445 4.249 4.957
Zn 1.513 0.873 1.012
Zn 1.445 4.249 4.957
Zn 4.402 0.873 1.012
Zn 2.958 3.376 1.012
Ir 0.000 0.000 2.985

---

12.
8
Lattice="-2.407 2.407 8.734 2.407 -2.407 8.734 2.407 2.407 -8.734" Properties=species:S:1:pos:R:3 comment="SrZnIr2, optimized geometry, DFT PBE" e_tot_ev_per_atom=-5.132 volume_a3_per_cell=202 sg="No. 141" formation_energy_ev_per_atom=0.0375 pbc="T T T"
Sr 2.407 1.203 2.183
Sr 0.000 1.203 6.550
Zn 2.407 -1.203 6.550
Zn 0.000 3.610 2.183
Ir 0.000 0.000 0.000
Ir 1.203 1.203 -4.367
Ir 1.203 -1.203 4.367
Ir 0.000 2.407 0.000

---

13.
4
Lattice="3.455 0.000 0.000 0.000 3.455 0.000 0.000 0.000 6.958" Properties=species:S:1:pos:R:3 comment="SrZnIr2, optimized geometry, DFT PBE" e_tot_ev_per_atom=-4.979 volume_a3_per_cell=83 sg="No. 99" formation_energy_ev_per_atom=0.1905 pbc="T T T"
Sr 0.000 0.000 0.000
Zn 1.728 1.728 2.190
Ir 0.000 0.000 3.807
Ir 1.728 1.728 4.695

---

14.
5
Lattice="4.757 0.000 0.000 0.000 3.504 3.388 0.000 -3.504 3.388" Properties=species:S:1:pos:R:3 comment="SrZn3Ir, optimized geometry, DFT PBE" polymorph_energy_kj_per_mol_atoms=3.79 e_tot_ev_per_atom=-3.169 volume_a3_per_cell=113 sg="No. 38" formation_energy_ev_per_atom=-0.2965 pbc="T T T"
Sr 0.000 0.000 0.000
Zn 0.000 0.000 3.538
Zn 2.379 -1.533 2.170
Zn 2.379 1.533 2.170
Ir 2.379 0.000 4.100

---

15.
6
Lattice="0.000 3.772 3.772 3.772 0.000 3.772 3.772 3.772 0.000" Properties=species:S:1:pos:R:3 comment="SrZnIr4, optimized geometry, DFT PBE" e_tot_ev_per_atom=-6.364 volume_a3_per_cell=107 sg="No. 216" formation_energy_ev_per_atom=0.0364 pbc="T T T"
Sr 0.000 0.000 0.000
Zn 5.658 5.658 5.658
Ir 2.832 2.832 2.832
Ir 4.711 4.711 2.832
Ir 4.711 2.832 4.711
Ir 2.832 4.711 4.711

---

16.
10
Lattice="7.007 -2.354 0.000 7.007 2.354 0.000 -1.417 0.000 6.624" Properties=species:S:1:pos:R:3 comment="SrZn3Ir, optimized geometry, DFT PBE" polymorph_energy_kj_per_mol_atoms=18.90 e_tot_ev_per_atom=-3.013 volume_a3_per_cell=218 sg="No. 12" formation_energy_ev_per_atom=-0.1399 pbc="T T T"
Sr 1.991 0.000 1.888
Sr 10.606 0.000 4.736
Zn 1.087 0.000 5.368
Zn 5.115 0.000 2.769
Zn 5.479 0.000 5.407
Zn 7.117 0.000 1.217
Zn 7.481 0.000 3.855
Zn 11.509 0.000 1.256
Ir 4.720 0.000 0.238
Ir 7.876 0.000 6.386

---

17.
10
Lattice="6.216 -3.174 0.000 6.216 3.174 0.000 -0.225 0.000 5.186" Properties=species:S:1:pos:R:3 comment="SrZn3Ir, optimized geometry, DFT PBE" polymorph_energy_kj_per_mol_atoms=2.95 e_tot_ev_per_atom=-3.178 volume_a3_per_cell=205 sg="No. 12" formation_energy_ev_per_atom=-0.3052 pbc="T T T"
Sr 1.791 0.000 2.547
Sr 10.417 0.000 2.639
Zn 3.108 1.587 0.000
Zn 6.216 1.914 0.000
Zn 5.082 0.000 1.727
Zn 3.108 -1.587 0.000
Zn 7.125 0.000 3.459
Zn 6.216 -1.914 0.000
Ir 4.558 0.000 4.232
Ir 7.650 0.000 0.954

---

18.
19
Lattice="4.566 2.636 4.460 -4.566 2.636 4.460 0.000 -5.273 4.460" Properties=species:S:1:pos:R:3 comment="Sr2Zn15Ir2, optimized geometry, DFT PBE" e_tot_ev_per_atom=-2.286 volume_a3_per_cell=322 sg="No. 166" formation_energy_ev_per_atom=-0.1706 pbc="T T T"
Sr 0.000 0.000 2.122
Sr 0.000 0.000 11.257
Zn -2.283 -1.318 4.460
Zn 0.000 -2.555 4.262
Zn -2.213 1.278 4.262
Zn -1.278 -2.214 6.690
Zn -2.557 0.000 6.690
Zn -2.213 -1.278 9.117
Zn -2.283 1.318 8.920
Zn 1.278 -2.214 6.690
Zn 0.000 2.636 4.460
Zn -1.278 2.214 6.690
Zn 2.213 1.278 4.262
Zn 2.557 0.000 6.690
Zn 1.278 2.214 6.690
Zn 2.213 -1.278 9.117
Zn 0.000 2.555 9.117
Ir 0.000 0.000 5.301
Ir 0.000 0.000 8.078

---

19.
14
Lattice="-2.155 4.840 6.763 2.155 -4.840 6.763 2.155 4.840 -6.763" Properties=species:S:1:pos:R:3 comment="Sr3Zn9Ir2, optimized geometry, DFT PBE" e_tot_ev_per_atom=-2.687 volume_a3_per_cell=282 sg="No. 71" formation_energy_ev_per_atom=-0.2422 pbc="T T T"
Sr 0.000 0.000 0.000
Sr 0.000 0.000 4.112
Sr 0.000 0.000 9.415
Zn 2.155 -1.456 2.145
Zn 2.155 -2.103 5.226
Zn 2.155 1.456 2.145
Zn 0.000 2.737 1.537
Zn 0.000 4.840 0.000
Zn 2.155 2.103 5.226
Zn 0.000 3.384 4.618
Zn 0.000 6.943 1.537
Zn 0.000 6.296 4.618
Ir 2.155 2.981 0.000
Ir 0.000 1.859 6.763

---

20.
14
Lattice="5.784 -2.198 0.000 5.784 2.198 0.000 -4.767 0.000 15.198" Properties=species:S:1:pos:R:3 comment="Sr3Zn3Ir, optimized geometry, DFT PBE" e_tot_ev_per_atom=-2.803 volume_a3_per_cell=386 sg="No. 12" formation_energy_ev_per_atom=-0.2706 pbc="T T T"
Sr -1.580 0.000 5.941
Sr -3.147 0.000 14.000
Sr 1.768 0.000 3.742
Sr 5.034 0.000 11.456
Sr 9.948 0.000 1.197
Sr 8.381 0.000 9.257
Zn 1.420 0.000 7.025
Zn 0.250 0.000 13.977
Zn 1.534 0.000 11.571
Zn 5.267 0.000 3.627
Zn 6.551 0.000 1.221
Zn 5.381 0.000 8.173
Ir 0.244 0.000 9.392
Ir 6.557 0.000 5.806

---

| no. | total magnetic moment (μB per cell) |
| --- | --- |
| 1 | 0.00 |
| 2 | 0.00 |
| 3 | 1.48 |
| 4 | 0.00 |
| 5 | 0.00 |
| 6 | 0.00 |
| 7 | 0.00 |
| 8 | 0.00 |
| 9 | 0.00 |
| 10 | 0.00 |
| 11 | 0.00 |
| 12 | 0.00 |
| 13 | 0.66 |
| 14 | 0.00 |
| 15 | 0.00 |
| 16 | 0.00 |
| 17 | 0.00 |
| 18 | 0.00 |
| 19 | 0.00 |
| 20 | 0.00 |